Entry from the Alexandria database: a geometry-optimized ZrInMo2 structure (PBE).

Results
The density of states at the Fermi level comes out at 3.40 states/eV/f.u. The formation energy is 9.7 kJ per mole of atoms. As for the total moment: 0.00 Bohr magnetons per cell. As for the raw total energy: -8.14 eV/atom.

abc: 2.9568 4.5003 5.8329
angles: 90.00 104.42 90.00
Closest atoms and distances in Å follow each position.
Atoms (fractional coordinates):
Zr 0.0000 0.0000 0.0000  3 Mo 2.73-2.94, 2 Zr 2.96, 2 In 3.05
In 0.5944 0.5000 0.2732  4 Mo 2.87-3.01, 2 In 2.96, 4 Zr 3.05-3.16
Mo 0.0816 0.0000 0.5441  4 Mo 2.65-2.96, 1 Zr 2.73, 2 In 2.92
Mo 0.4578 0.5000 0.7440  4 Mo 2.65-2.96, 1 In 2.87, 2 Zr 2.94